Entry 1:
SmURh3, relaxed, DFT PBE-GGA; size of the total moment = 0.96 μB per cell; calculated formation energy = -2.33 eV per formula unit
1.0
-3.043 5.467 0.747
-4.948 -2.345 -3.012
0.452 -0.596 6.204
Rh Sm U
6 2 2
direct
0.750 0.619 0.810
0.250 0.810 0.619
0.250 0.381 0.190
0.250 0.810 0.190
0.750 0.191 0.381
0.750 0.190 0.810
0.250 0.333 0.667
0.750 0.667 0.333
0.500 0.000 0.000
0.000 0.000 0.000



Entry 2:
SmVRh2, relaxed, DFT PBE-GGA; size of the total moment = 0.00 μB per cell; calculated formation energy = -1.61 eV per formula unit
1.0
-1.204 0.824 -2.709
2.258 -1.497 -1.459
-4.059 -6.079 -0.045
V Rh Sm
1 2 1
direct
0.500 0.500 0.000
0.000 0.000 0.805
0.000 0.000 0.195
0.500 0.500 0.500



Entry 3:
SmVRh2, relaxed, DFT PBE-GGA; size of the total moment = 0.00 μB per cell; calculated formation energy = -1.53 eV per formula unit
1.0
-3.183 0.460 2.665
0.696 -0.080 4.118
-0.119 5.169 2.238
V Sm Rh
1 1 2
direct
0.000 0.000 0.000
0.500 0.500 0.500
0.712 0.712 0.863
0.288 0.288 0.137



Entry 4:
SmVRh, relaxed, DFT PBE-GGA; size of the total moment = 0.00 μB per cell; calculated formation energy = -0.76 eV per formula unit
1.0
6.616 0.000 0.000
-3.308 7.323 0.907
0.000 4.895 7.876
Sm Rh V
6 6 6
direct
0.836 0.583 0.958
0.252 0.417 0.042
0.242 0.433 0.533
0.669 0.994 0.753
0.675 0.006 0.247
0.809 0.567 0.467
0.235 0.975 0.263
0.915 0.333 0.835
0.260 0.025 0.737
0.582 0.667 0.165
0.582 0.667 0.667
0.915 0.333 0.333
0.457 0.211 0.401
0.246 0.789 0.112
0.246 0.789 0.599
0.457 0.211 0.888
0.031 0.000 0.500
0.031 0.000 0.000



Entry 5:
Sm2YRh4, relaxed, DFT PBE-GGA; size of the total moment = 0.00 μB per cell; calculated formation energy = -3.12 eV per formula unit
1.0
-2.986 -0.082 -3.654
-4.562 -0.986 0.702
-4.005 7.280 0.062
Sm Rh Y
2 4 1
direct
0.238 0.238 0.285
0.762 0.762 0.715
0.881 0.881 0.358
0.119 0.119 0.642
0.375 0.375 0.876
0.625 0.625 0.124
0.000 0.000 0.000



Entry 6:
Sm3Y2Rh2, relaxed, DFT PBE-GGA; size of the total moment = 0.00 μB per cell; calculated formation energy = -3.65 eV per formula unit
1.0
3.877 0.000 0.000
-1.939 6.076 -0.425
0.000 -3.343 8.333
Rh Y Sm
2 2 3
direct
0.819 0.639 0.759
0.181 0.361 0.241
0.168 0.336 0.810
0.832 0.664 0.190
0.500 0.000 0.000
0.385 0.770 0.571
0.615 0.230 0.429



Entry 7:
SmY2Rh, relaxed, DFT PBE-GGA; size of the total moment = 0.00 μB per cell; calculated formation energy = -1.58 eV per formula unit
1.0
-2.097 2.483 1.326
0.168 -1.540 3.149
6.993 4.841 1.994
Rh Sm Y
1 1 2
direct
0.500 0.500 0.000
0.500 0.500 0.500
0.000 0.000 0.188
0.000 0.000 0.812



Entry 8:
Sm3YRh, relaxed, DFT PBE-GGA; size of the total moment = 0.00 μB per cell; calculated formation energy = -1.76 eV per formula unit
1.0
-0.921 2.486 -2.725
-6.372 0.012 -0.488
-1.228 10.449 7.294
Rh Sm Y
2 6 2
direct
0.780 0.316 0.123
0.430 0.353 0.787
0.098 0.174 0.629
0.433 0.620 0.514
0.781 0.045 0.393
0.442 0.961 0.155
0.770 0.706 0.755
0.990 0.111 0.909
0.115 0.494 0.276
0.222 0.556 0.001



Entry 9:
SmY2Rh, relaxed, DFT PBE-GGA; size of the total moment = 0.00 μB per cell; calculated formation energy = -1.98 eV per formula unit
1.0
-0.569 5.761 2.804
-4.243 2.210 -5.402
-7.673 -3.078 4.768
Y Rh Sm
8 4 4
direct
0.828 0.324 0.935
0.172 0.676 0.065
0.328 0.176 0.065
0.672 0.824 0.565
0.672 0.824 0.935
0.328 0.176 0.435
0.828 0.324 0.565
0.172 0.676 0.435
0.558 0.118 0.750
0.058 0.382 0.250
0.442 0.882 0.250
0.942 0.618 0.750
0.361 0.464 0.750
0.139 0.964 0.750
0.639 0.536 0.250
0.861 0.036 0.250



Entry 10:
Sm2YRh3, relaxed, DFT PBE-GGA; size of the total moment = 0.00 μB per cell; calculated formation energy = -4.53 eV per formula unit
1.0
3.474 0.000 0.000
0.000 3.474 0.000
0.000 0.000 10.474
Y Rh Sm
1 3 2
direct
0.500 0.500 0.500
0.000 0.000 0.337
0.000 0.000 0.000
0.000 0.000 0.663
0.500 0.500 0.832
0.500 0.500 0.168



Entry 11:
SmY2Rh4, relaxed, DFT PBE-GGA; size of the total moment = 0.00 μB per cell; calculated formation energy = -2.69 eV per formula unit
1.0
-0.457 -4.663 -0.461
3.672 -0.069 -2.945
4.163 -0.923 5.211
Sm Rh Y
1 4 2
direct
0.500 0.500 0.000
0.500 0.000 0.258
0.000 0.500 0.742
0.000 0.500 0.258
0.500 0.000 0.742
0.000 0.000 0.000
0.500 0.500 0.500



Entry 12:
SmY3Rh4, relaxed, DFT PBE-GGA; size of the total moment = 0.00 μB per cell; calculated formation energy = -6.46 eV per formula unit
1.0
3.407 0.000 0.000
0.000 4.916 0.000
0.000 0.000 9.835
Rh Y Sm
4 3 1
direct
0.000 0.000 0.000
0.000 0.500 0.747
0.000 0.000 0.500
0.000 0.500 0.253
0.500 0.000 0.252
0.500 0.500 0.500
0.500 0.000 0.748
0.500 0.500 0.000



Entry 13:
Sm2YRh2, relaxed, DFT PBE-GGA; size of the total moment = 0.00 μB per cell; calculated formation energy = -2.79 eV per formula unit
1.0
3.763 0.000 -0.577
0.000 4.719 0.000
0.150 0.000 13.537
Rh Sm Y
4 4 2
direct
0.841 0.750 0.682
0.159 0.250 0.318
0.467 0.250 0.933
0.533 0.750 0.067
0.733 0.250 0.467
0.267 0.750 0.533
0.052 0.250 0.104
0.948 0.750 0.896
0.364 0.250 0.728
0.636 0.750 0.272



Entry 14:
Sm3YRh2, relaxed, DFT PBE-GGA; size of the total moment = 0.00 μB per cell; calculated formation energy = -3.03 eV per formula unit
1.0
-1.349 -6.114 2.708
-2.832 -2.152 -6.270
8.261 1.880 -0.233
Y Sm Rh
2 6 4
direct
0.000 0.500 0.000
0.000 0.000 0.000
0.768 0.518 0.536
0.232 0.982 0.464
0.232 0.482 0.464
0.768 0.018 0.536
0.500 0.250 0.000
0.500 0.750 0.000
0.425 0.637 0.275
0.575 0.363 0.725
0.850 0.137 0.275
0.150 0.863 0.725



Entry 15:
Sm3YRh, relaxed, DFT PBE-GGA; size of the total moment = 0.72 μB per cell; calculated formation energy = -0.74 eV per formula unit
1.0
-0.303 2.508 4.901
2.644 -4.239 2.332
4.829 2.478 -0.969
Y Rh Sm
1 1 3
direct
0.500 0.500 0.500
0.000 0.000 0.000
0.500 0.000 0.000
0.000 0.000 0.500
0.000 0.500 0.000



Entry 16:
SmY2Rh, relaxed, DFT PBE-GGA; size of the total moment = 0.00 μB per cell; calculated formation energy = -1.87 eV per formula unit
1.0
-3.706 -0.762 -0.234
2.748 -2.315 -5.276
1.438 -8.353 4.414
Rh Y Sm
2 4 2
direct
0.245 0.489 0.250
0.755 0.511 0.750
0.639 0.278 0.432
0.361 0.722 0.568
0.639 0.278 0.068
0.361 0.722 0.932
0.077 0.154 0.750
0.923 0.846 0.250



Entry 17:
Sm2YRh2, relaxed, DFT PBE-GGA; size of the total moment = 0.00 μB per cell; calculated formation energy = -3.28 eV per formula unit
1.0
4.361 0.000 0.000
0.000 5.650 0.802
0.000 0.266 10.547
Rh Y Sm
4 2 4
direct
0.750 0.315 0.360
0.750 0.655 0.036
0.250 0.685 0.640
0.250 0.345 0.964
0.250 0.546 0.209
0.750 0.454 0.791
0.750 0.768 0.463
0.750 0.109 0.117
0.250 0.232 0.537
0.250 0.891 0.883



Entry 18:
Sm2YRh3, relaxed, DFT PBE-GGA; size of the total moment = 0.00 μB per cell; calculated formation energy = -4.57 eV per formula unit
1.0
4.922 0.000 0.000
-2.461 4.263 0.000
0.000 0.000 6.017
Y Sm Rh
1 2 3
direct
0.000 0.000 0.000
0.333 0.667 0.668
0.667 0.333 0.332
0.333 0.667 0.163
0.000 0.000 0.500
0.667 0.333 0.837



Entry 19:
SmY4Rh, relaxed, DFT PBE-GGA; size of the total moment = 0.00 μB per cell; calculated formation energy = -1.07 eV per formula unit
1.0
5.597 0.000 -0.001
0.000 7.509 0.000
-2.800 0.000 9.247
Y Sm Rh
8 2 2
direct
0.297 0.535 0.594
0.884 0.281 0.767
0.116 0.781 0.233
0.500 0.530 0.000
0.703 0.035 0.406
0.297 0.027 0.594
0.703 0.527 0.406
0.500 0.030 0.000
0.883 0.781 0.765
0.117 0.281 0.235
0.601 0.781 0.203
0.399 0.281 0.797



Entry 20:
Sm3YRh, relaxed, DFT PBE-GGA; size of the total moment = 0.00 μB per cell; calculated formation energy = -1.24 eV per formula unit
1.0
6.268 0.000 0.000
0.000 6.612 -0.001
0.000 0.001 7.694
Sm Rh Y
6 2 2
direct
0.420 0.326 0.201
0.925 0.490 0.449
0.926 0.490 0.953
0.425 0.863 0.949
0.425 0.863 0.452
0.920 0.027 0.701
0.174 0.674 0.701
0.674 0.679 0.201
0.434 0.332 0.701
0.934 0.020 0.201



Entry 21:
SmY3Rh8, relaxed, DFT PBE-GGA; size of the total moment = 0.00 μB per cell; calculated formation energy = -8.32 eV per formula unit
1.0
-1.645 4.481 -2.420
-1.532 -4.772 -1.877
-7.055 0.220 5.201
Rh Y Sm
8 3 1
direct
0.502 0.004 0.752
0.165 0.835 0.249
0.165 0.330 0.249
0.333 0.667 0.000
0.996 0.498 0.752
0.502 0.498 0.752
0.333 0.667 0.500
0.670 0.835 0.249
0.667 0.333 0.066
0.000 0.000 0.934
0.667 0.333 0.432
0.000 0.000 0.567



Entry 22:
SmY2Rh, relaxed, DFT PBE-GGA; size of the total moment = 0.01 μB per cell; calculated formation energy = -1.29 eV per formula unit
1.0
3.869 0.000 0.000
1.935 3.351 0.000
1.935 1.117 9.164
Y Sm Rh
2 1 1
direct
0.274 0.274 0.178
0.058 0.058 0.825
0.501 0.501 0.496
0.666 0.666 0.002



Entry 23:
SmY2Rh2, relaxed, DFT PBE-GGA; size of the total moment = 0.00 μB per cell; calculated formation energy = -2.88 eV per formula unit
1.0
-2.660 2.452 -1.501
-2.550 -3.632 -1.415
-5.063 -1.179 12.151
Rh Y Sm
4 4 2
direct
0.836 0.750 0.673
0.468 0.250 0.936
0.164 0.250 0.327
0.532 0.750 0.064
0.948 0.750 0.896
0.052 0.250 0.104
0.737 0.250 0.474
0.263 0.750 0.526
0.364 0.250 0.727
0.636 0.750 0.273



Entry 24:
SmY2Rh2, relaxed, DFT PBE-GGA; size of the total moment = 0.00 μB per cell; calculated formation energy = -3.37 eV per formula unit
1.0
-2.079 3.755 0.894
-4.877 -2.733 0.137
-0.090 -2.476 10.192
Rh Y Sm
4 4 2
direct
0.250 0.344 0.965
0.250 0.693 0.638
0.750 0.656 0.035
0.750 0.307 0.362
0.250 0.230 0.534
0.750 0.114 0.115
0.750 0.770 0.466
0.250 0.886 0.885
0.750 0.444 0.787
0.250 0.556 0.213